{
  "formula": "PmBiTe2",
  "functional": "PBE-GGA",
  "state": "relaxed",
  "lattice": [[4.2970, 0.0000, 0.0000], [2.1485, 3.7213, 0.0000], [2.1485, 1.2404, 9.9095]],
  "species": ["Te", "Te", "Bi", "Pm"],
  "fractional_positions": [[0.8969, 0.8969, 0.3092], [0.1031, 0.1031, 0.6908], [0.0000, 0.0000, 0.0000], [0.5000, 0.5000, 0.5000]],
  "vol_a3_per_cell": 158,
  "formation_energy_uncorrected_ev_per_fu": -2.8,
  "spacegroup": "No. 166",
  "magmom_total_mub_per_cell": 0.000
}

{
  "formula": "TlV2Br2",
  "functional": "PBE-GGA",
  "state": "relaxed",
  "lattice": [[7.3859, 0.0000, 0.0000], [0.0000, 7.3859, 0.0000], [0.0000, 0.0000, 4.3513]],
  "species": ["Br", "Br", "Br", "Br", "V", "V", "V", "V", "Tl", "Tl"],
  "fractional_positions": [[0.1537, 0.6537, 0.5000], [0.8463, 0.3463, 0.5000], [0.3463, 0.1537, 0.5000], [0.6537, 0.8463, 0.5000], [0.5884, 0.0884, 0.0000], [0.0884, 0.4116, 0.0000], [0.9116, 0.5884, 0.0000], [0.4116, 0.9116, 0.0000], [0.0000, 0.0000, 0.0000], [0.5000, 0.5000, 0.0000]],
  "e_above_lowest_polymorph_ev_per_atom": 0.330,
  "vol_a3_per_cell": 237,
  "formation_energy_uncorrected_ev_per_fu": 1.6,
  "spacegroup": "No. 127",
  "magmom_total_mub_per_cell": 0.000
}

{
  "formula": "Rb3Nd3UTe8",
  "functional": "PBE-GGA",
  "state": "relaxed",
  "lattice": [[-4.9411, -5.7586, 5.1300], [2.1414, -2.2321, -8.6199], [7.5629, -0.3883, 6.8480]],
  "species": ["Te", "Te", "Te", "Te", "Te", "Te", "Te", "Te", "Nd", "Nd", "Nd", "Rb", "Rb", "Rb", "U"],
  "fractional_positions": [[0.2580, 0.0299, 0.3020], [0.7719, 0.5439, 0.3019], [0.2281, 0.4561, 0.6981], [0.2648, 0.5296, 0.2945], [0.7420, 0.9701, 0.6980], [0.2281, 0.9701, 0.6980], [0.7719, 0.0299, 0.3020], [0.7352, 0.4704, 0.7055], [0.0000, 0.5000, 0.5000], [0.5000, 0.5000, 0.5000], [0.5000, 0.0000, 0.5000], [0.5000, 0.5000, 0.0000], [0.0000, 0.0000, 0.0000], [0.0000, 0.5000, 0.0000], [0.0000, 0.0000, 0.5000]],
  "vol_a3_per_cell": 634,
  "formation_energy_uncorrected_ev_per_fu": -18.7,
  "spacegroup": "No. 166",
  "magmom_total_mub_per_cell": 2.000
}

{
  "formula": "HgOs2Ru",
  "functional": "PBE-GGA",
  "state": "relaxed",
  "lattice": [[2.7640, 0.0067, 0.0000], [-1.3737, 2.3984, 0.0000], [0.0000, 0.0000, 9.7543]],
  "species": ["Os", "Os", "Ru", "Hg"],
  "fractional_positions": [[0.0000, 0.0000, 0.4792], [0.0000, 0.0000, 0.0208], [0.5000, 0.5000, 0.2500], [0.5000, 0.5000, 0.7500]],
  "vol_a3_per_cell": 65,
  "ef_ev_per_atom": 0.8115,
  "spacegroup": "No. 65",
  "magmom_total_mub_per_cell": 1.084
}